Computed, not measured: crystalline K2Tb2UTe6 at its relaxed geometry at the PBE level of DFT.

Lattice parameters (Å, degrees): 7.692 7.692 8.821 98.46 98.46 119.90
Fractional positions:
1 Te 0.928 0.600 0.293
2 Te 0.072 0.400 0.707
3 Te 0.739 0.739 0.705
4 Te 0.261 0.261 0.295
5 Te 0.400 0.072 0.707
6 Te 0.600 0.928 0.293
7 K 0.832 0.168 0.000
8 K 0.168 0.832 0.000
9 Tb 0.668 0.332 0.500
10 Tb 0.332 0.668 0.500
11 U 0.000 0.000 0.500

Computed properties:
The calculation puts the density of states at the Fermi level at 0.67 states/eV/atom. The formation energy without anion corrections comes out at -1.182 eV per atom.

***

Computed, not measured: crystalline Ba3SrYb2Re2O12 at its relaxed geometry at the PBE level of DFT.

Lattice parameters (Å, degrees): 5.959 5.959 10.309 73.20 90.00 120.00
Fractional positions:
1 Yb 0.750 0.499 0.751
2 Yb 0.250 0.501 0.249
3 O 0.882 0.231 0.887
4 O 0.882 0.764 0.887
5 O 0.846 0.233 0.381
6 O 0.386 0.773 0.381
7 O 0.652 0.768 0.117
8 O 0.349 0.231 0.887
9 O 0.153 0.769 0.615
10 O 0.116 0.768 0.117
11 O 0.616 0.233 0.615
12 O 0.116 0.231 0.117
13 O 0.616 0.769 0.615
14 O 0.386 0.233 0.381
15 Ba 0.876 0.751 0.373
16 Ba 0.125 0.250 0.625
17 Ba 0.374 0.749 0.877
18 Sr 0.624 0.249 0.127
19 Re 0.501 0.001 0.498
20 Re 0.000 0.999 0.001

Computed properties:
The calculation puts the density of states at the Fermi level at 0.22 states/eV/atom. The formation energy without anion corrections comes out at -2.521 eV per atom.

***

Computed, not measured: crystalline BeZn2Rh at its relaxed geometry at the PBE level of DFT.

Lattice parameters (Å, degrees): 4.178 4.178 4.178 60.00 60.00 60.00
Fractional positions:
1 Rh 0.500 0.500 0.500
2 Zn 0.750 0.750 0.750
3 Zn 0.250 0.250 0.250
4 Be 0.000 0.000 0.000

Computed properties:
The calculation puts the density of states at the Fermi level at 0.41 states/eV/atom. For the formation energy from the elements, the calculation gives -0.14 eV per atom.

***

Computed, not measured: crystalline Sc4TlZnAg2 at its relaxed geometry at the PBE level of DFT.

Lattice parameters (Å, degrees): 4.884 4.884 8.504 73.31 73.31 60.00
Fractional positions:
1 Ag 0.248 0.248 0.255
2 Ag 0.752 0.752 0.745
3 Sc 0.129 0.129 0.613
4 Sc 0.871 0.871 0.387
5 Sc 0.380 0.380 0.861
6 Sc 0.620 0.620 0.139
7 Tl 0.000 0.000 0.000
8 Zn 0.500 0.500 0.500

Computed properties:
The calculation puts the density of states at the Fermi level at 0.73 states/eV/atom. For the formation energy from the elements, the calculation gives -0.30 eV per atom.

***

Computed, not measured: crystalline TlRu2Pt at its relaxed geometry at the PBE level of DFT.

Lattice parameters (Å, degrees): 7.386 7.386 5.880 51.10 51.10 90.00
Fractional positions:
1 Ru 0.149 0.625 0.250
2 Ru 0.601 0.125 0.250
3 Ru 0.375 0.399 0.750
4 Ru 0.875 0.851 0.750
5 Pt 0.250 0.750 0.500
6 Pt 0.500 0.500 0.000
7 Tl 0.750 0.250 0.500
8 Tl 0.000 0.000 0.000

Computed properties:
The calculation puts the density of states at the Fermi level at 1.42 states/eV/atom. For the formation energy from the elements, the calculation gives 0.86 eV per atom.

***

Computed, not measured: crystalline Y2TaAu at its relaxed geometry at the PBE level of DFT.

Lattice parameters (Å, degrees): 5.991 5.991 5.451 68.68 68.68 31.65
Fractional positions:
1 Ta 0.217 0.217 0.217
2 Au 0.522 0.522 0.554
3 Y 0.981 0.981 0.051
4 Y 0.780 0.780 0.678

Computed properties:
The calculation puts the density of states at the Fermi level at 0.87 states/eV/atom. For the formation energy from the elements, the calculation gives -0.10 eV per atom.

***

Computed, not measured: crystalline Cs3Ac3GaO8 at its relaxed geometry at the PBE level of DFT.

Lattice parameters (Å, degrees): 7.323 7.665 8.175 117.06 90.00 118.54
Fractional positions:
1 O 0.774 0.942 0.636
2 O 0.168 0.942 0.636
3 O 0.716 0.433 0.676
4 O 0.284 0.567 0.324
5 O 0.226 0.058 0.364
6 O 0.832 0.058 0.364
7 O 0.726 0.452 0.286
8 O 0.274 0.548 0.714
9 Cs 0.000 0.500 0.000
10 Cs 0.500 0.500 0.000
11 Cs 0.000 0.000 0.000
12 Ac 0.500 0.000 0.500
13 Ac 0.500 0.500 0.500
14 Ac 0.000 0.500 0.500
15 Ga 0.000 0.000 0.500

Computed properties:
The calculation puts the density of states at the Fermi level at 0.64 states/eV/atom. The formation energy without anion corrections comes out at -2.182 eV per atom.

***

Computed, not measured: crystalline RbPHRuC at its relaxed geometry at the PBE level of DFT.

Lattice parameters (Å, degrees): 2.992 3.977 7.053 77.36 78.01 90.01
Fractional positions:
1 Ru 0.951 0.443 0.664
2 Rb 0.670 0.059 0.237
3 P 0.344 0.694 0.881
4 H 0.522 0.429 0.519
5 C 0.892 0.945 0.784

Computed properties:
The calculation puts the density of states at the Fermi level at 0.43 states/eV/atom. Its raw total energy is -27.104 eV per cell.

***

Computed, not measured: crystalline Cs2TiSi6O15 at its relaxed geometry at the PBE level of DFT.

Lattice parameters (Å, degrees): 7.618 7.618 15.463 76.40 76.40 60.18
Fractional positions:
1 Si 0.630 0.866 0.053
2 Si 0.360 0.471 0.744
3 Si 0.866 0.630 0.553
4 Si 0.588 0.453 0.540
5 Si 0.918 0.982 0.562
6 Si 0.934 0.067 0.249
7 Si 0.018 0.346 0.741
8 Si 0.471 0.360 0.244
9 Si 0.982 0.918 0.062
10 Si 0.067 0.934 0.749
11 Si 0.346 0.018 0.241
12 Si 0.453 0.588 0.040
13 O 0.672 0.620 0.528
14 O 0.423 0.165 0.263
15 O 0.869 0.774 0.070
16 O 0.053 0.569 0.473
17 O 0.620 0.672 0.028
18 O 0.884 0.123 0.993
19 O 0.155 0.104 0.723
20 O 0.511 0.456 0.961
21 O 0.787 0.227 0.531
22 O 0.459 0.444 0.640
23 O 0.312 0.515 0.313
24 O 0.924 0.480 0.648
25 O 0.123 0.884 0.493
26 O 0.569 0.053 0.973
27 O 0.104 0.155 0.223
28 O 0.842 0.373 0.826
29 O 0.709 0.272 0.259
30 O 0.948 0.963 0.165
31 O 0.165 0.423 0.763
32 O 0.272 0.709 0.759
33 O 0.774 0.869 0.570
34 O 0.963 0.948 0.665
35 O 0.373 0.842 0.326
36 O 0.444 0.459 0.140
37 O 0.227 0.787 0.031
38 O 0.515 0.312 0.813
39 O 0.902 0.976 0.839
40 O 0.976 0.902 0.339
41 O 0.480 0.924 0.148
42 O 0.456 0.511 0.461
43 Cs 0.113 0.370 0.982
44 Cs 0.855 0.581 0.307
45 Cs 0.370 0.113 0.482
46 Cs 0.581 0.855 0.807
47 Ti 0.702 0.221 0.900
48 Ti 0.221 0.702 0.400

Computed properties:
The calculation puts the density of states at the Fermi level at 0.00 states/eV/atom. The formation energy without anion corrections comes out at -2.764 eV per atom.